# PBE ReNi3H, optimized geometry
# Relative energy among the computed polymorphs (meV per atom): 1699.2
# Magnetization (μB/f.u.): 0.81
# Calculated total energy (eV/atom): -4.690
data_ReNi3H
_cell_length_a 4.5367
_cell_length_b 4.5367
_cell_length_c 4.5367
_cell_angle_alpha 90.00
_cell_angle_beta 90.00
_cell_angle_gamma 90.00
_space_group_name_H-M_alt 'P m -3 m'
_space_group_IT_number 221
_space_group_name_Hall '-P 4 2 3'
loop_
_atom_site_label
_atom_site_fract_x
_atom_site_fract_y
_atom_site_fract_z
_atom_site_occupancy
Re1 0.0000 0.0000 0.0000 1
Ni1 0.0000 0.0000 0.5000 1
H1 0.5000 0.5000 0.5000 1